This record from the Alexandria database describes a relaxed structure of Cs2CaPmCl6. The functional is PBE.

```
20
Lattice="7.790 0.000 0.000 0.000 11.028 0.000 0.000 0.000 7.803" Properties=species:S:1:pos:R:3 pbc="T T T"
Cs 1.948 11.027 1.953
Cs 1.948 5.514 1.953
Cs 5.843 0.001 5.850
Cs 5.843 5.513 5.850
Ca 1.948 2.757 5.844
Ca 5.843 8.271 1.959
Pm 1.948 8.271 5.861
Pm 5.843 2.757 1.942
Cl 0.019 2.757 3.908
Cl 0.014 2.757 7.774
Cl 1.948 0.025 5.852
Cl 1.948 5.489 5.852
Cl 3.876 2.757 3.908
Cl 3.881 2.757 7.774
Cl 3.910 8.271 0.028
Cl 3.914 8.271 3.894
Cl 5.843 5.539 1.951
Cl 5.843 11.003 1.951
Cl 7.776 8.271 0.028
Cl 7.771 8.271 3.894
```

Results
The total energy is -80.754 eV per cell.